Below is a crystal of BaMg2N2 relaxed with PBEsol, with properties calculated at the SCAN level.

E_tot   -71.837 eV/f.u.
Symmetry   No. 164
Formation energy without anion corrections   -0.751 eV/atom

Structure (POSCAR):
```
BaMg2N2
1.0
-2.366 -2.713 0.796
3.597 -0.733 -0.345
0.863 1.162 6.525
Mg Ba N
2 1 2
Direct
0.333 0.667 0.876
0.667 0.333 0.124
0.000 0.000 0.500
0.333 0.667 0.207
0.667 0.333 0.793
```